{"formula": "Sm4CS2Br", "functional": "PBE", "state": "optimized geometry", "cell": [[-0.060, -0.842, 3.830], [-4.248, -5.151, -1.199], [3.901, -5.937, -1.244]], "species": ["Br", "S", "S", "C", "Sm", "Sm", "Sm", "Sm"], "frac_coords": [[0.500, 0.500, 0.000], [0.500, 0.000, 0.500], [0.000, 0.000, 0.000], [0.000, 0.500, 0.500], [0.500, 0.725, 0.292], [0.000, 0.749, 0.706], [0.500, 0.275, 0.708], [0.000, 0.251, 0.294]], "spacegroup": "P2/m", "raw_formation_energy_ev_per_atom": -1.38, "vol_a3_per_atom": 22.752, "total_energy_ev_per_fu": -49.0, "rho_g_cm3": 6.91, "n_ef_per_ev_cell": 2.3}